1.
Density functional theory data (PBE with a Hubbard U) for an optimized crystal structure of InFe2SbO6.

```
10
Lattice="5.424 0.031 -0.016 2.739 4.690 -0.007 2.706 1.575 4.758" Properties=species:S:1:pos:R:3 pbc="T T T"
In 8.136 4.718 2.699
Fe 5.438 3.166 1.980
Fe 2.719 1.582 4.458
Sb 2.716 1.569 0.214
O 4.493 1.390 1.138
O 4.464 4.803 1.179
O 7.410 3.179 1.179
O 6.221 4.520 3.662
O 6.182 1.831 3.583
O 3.845 3.149 3.661
```

Output
- Volume: 120.81 Å³/f.u.
- Raw total energy: -6.256 eV per atom
- Crystal system: triclinic
- Symmetry: P1



2.
Density functional theory data (PBE with a Hubbard U) for an optimized crystal structure of Sm2InFeO6.

```
10
Lattice="-1.822 2.993 4.360 -5.234 -1.347 -1.263 3.888 -4.326 0.698" Properties=species:S:1:pos:R:3 pbc="T T T"
Sm 0.233 -1.874 1.034
Sm -3.401 -0.807 2.761
In -2.617 -0.674 -0.631
Fe -0.911 1.496 2.180
O -2.654 -2.081 1.023
O 2.090 -3.356 1.225
O -2.551 1.373 3.224
O -0.617 -4.053 0.572
O -5.259 0.676 2.571
O -0.514 -0.600 2.773
```

Output
- Volume: 129.47 Å³/f.u.
- Raw total energy: -7.106 eV per atom
- Crystal system: monoclinic
- Symmetry: C2/m